First-principles (PBE-GGA) data for a relaxed structure of MoOsRu2, as listed in Alexandria.

Magnetization in Bohr magnetons per cell: 0.00
Space group: Pm
Calculated volume in Å³/f.u.: 58.98
Energy of formation from the pure elements in eV per atom: 0.140

abc: 4.267 2.745 5.212
angles: 75.03 90.00 90.00
Positions (direct):
Mo (0.000, 0.693, 0.486)
Os (0.500, 0.556, 0.764)
Ru (0.000, 0.958, 0.964)
Ru (0.500, 0.293, 0.286)


First-principles (PBE-GGA) data for a relaxed structure of MoOsRu2, as listed in Alexandria.

Magnetization in Bohr magnetons per cell: 0.00
Space group: Pnma
Calculated volume in Å³/f.u.: 57.85
Energy of formation from the pure elements in eV per atom: -0.027

abc: 4.366 4.787 11.072
angles: 90.00 90.00 90.00
Positions (direct):
Mo (0.250, 0.583, 0.685)
Mo (0.750, 0.417, 0.315)
Mo (0.250, 0.083, 0.815)
Mo (0.750, 0.917, 0.185)
Os (0.250, 0.584, 0.941)
Os (0.750, 0.416, 0.059)
Os (0.250, 0.084, 0.559)
Os (0.750, 0.916, 0.441)
Ru (0.250, 0.581, 0.186)
Ru (0.750, 0.419, 0.814)
Ru (0.250, 0.081, 0.314)
Ru (0.750, 0.919, 0.686)
Ru (0.250, 0.589, 0.437)
Ru (0.750, 0.411, 0.563)
Ru (0.250, 0.089, 0.063)
Ru (0.750, 0.911, 0.937)